# Mn2Ag2TeO6 PBE+U relaxed
data_Mn2Ag2TeO6
_cell_length_a 5.567
_cell_length_b 5.567
_cell_length_c 5.986
_cell_angle_alpha 95.61
_cell_angle_beta 95.61
_cell_angle_gamma 120.72
_space_group_name_H-M_alt 'P 1'
_space_group_IT_number 1
_space_group_name_Hall 'P 1'
loop_
_atom_site_label
_atom_site_type_symbol
_atom_site_fract_x
_atom_site_fract_y
_atom_site_fract_z
Ag1 Ag 0.838 0.162 0.000
Ag2 Ag 0.162 0.838 0.000
O1 O 0.030 0.332 0.688
O2 O 0.332 0.030 0.688
O3 O 0.668 0.970 0.312
O4 O 0.735 0.735 0.673
O5 O 0.970 0.668 0.312
O6 O 0.265 0.265 0.327
Te1 Te 0.000 0.000 0.500
Mn1 Mn 0.334 0.666 0.500
Mn2 Mn 0.666 0.334 0.500
# SG = C2/m
# calculated density = 5.8 g/cm³
# total DFT energy (no corrections) = -64.666 eV/cell